(1)
Material: LiDyAl3
Method: DFT, GGA-PBE
State: optimized geometry

a = 3.3546 Å, b = 26.7585 Å, c = 4.5162 Å
α = 90.00°, β = 90.00°, γ = 90.00°
Space group Cmcm (No. 63)
Asymmetric unit:
Li: 0.0000 0.2149 0.2500 [4 per cell]
Dy: 0.0000 0.0749 0.7500 [4 per cell]
Al: 0.0000 0.3215 0.2500 [4 per cell]
Al: 0.0000 0.3741 0.7500 [4 per cell]
Al: 0.0000 0.4750 0.7500 [4 per cell]

As for the formation energy: -26.4 kJ/mol of atoms.

=====

(2)
Material: Dy2ZrS6
Method: DFT, GGA-PBE
State: optimized geometry

a = 6.2902 Å, b = 6.2902 Å, c = 11.9216 Å
α = 90.00°, β = 90.00°, γ = 90.00°
Space group P4_2/mnm (No. 136)
Asymmetric unit:
Dy: 0.0000 0.0000 0.1706 [4 per cell]
Zr: 0.0000 0.0000 0.5000 [2 per cell]
S: 0.1967 0.1967 0.3446 [8 per cell]
S: 0.2094 0.2094 0.0000 [4 per cell]

For the formation energy (no corrections), the calculation gives -12.28 eV per formula unit.

=====

(3)
Material: Tm3Re5N12
Method: DFT, GGA-PBE
State: optimized geometry

a = 12.6614 Å, b = 12.6614 Å, c = 12.6614 Å
α = 90.00°, β = 90.00°, γ = 90.00°
Space group Ia-3d (No. 230)
Asymmetric unit:
Tm: 0.0000 0.2500 0.1250 [24 per cell]
Re: 0.0000 0.0000 0.0000 [16 per cell]
Re: 0.0000 0.2500 0.3750 [24 per cell]
N: 0.0314 0.0511 0.6494 [96 per cell]

For the formation energy (no corrections), the calculation gives -10.12 eV per formula unit.

=====

(4)
Material: Sc4AsS2
Method: DFT, GGA-PBE
State: optimized geometry

a = 3.7002 Å, b = 11.9903 Å, c = 12.1860 Å
α = 90.00°, β = 90.00°, γ = 90.00°
Space group Cmcm (No. 63)
Asymmetric unit:
Sc: 0.0000 0.0000 0.0000 [4 per cell]
Sc: 0.0000 0.2718 0.1216 [8 per cell]
Sc: 0.0000 0.4438 0.7500 [4 per cell]
As: 0.0000 0.1069 0.7500 [4 per cell]
S: 0.0000 0.3643 0.5616 [8 per cell]

For the formation energy (no corrections), the calculation gives -10.50 eV per formula unit.

=====

(5)
Material: CoPtRh2
Method: DFT, GGA-PBE
State: optimized geometry

a = 3.8176 Å, b = 3.8176 Å, c = 7.6232 Å
α = 90.00°, β = 90.00°, γ = 90.00°
Space group I-4m2 (No. 119)
Asymmetric unit:
Co: 0.0000 0.0000 0.0000 [2 per cell]
Pt: 0.0000 0.5000 0.7500 [2 per cell]
Rh: 0.0000 0.0000 0.5000 [2 per cell]
Rh: 0.0000 0.5000 0.2500 [2 per cell]

As for the formation energy: -1.4 kJ/mol of atoms.

=====

(6)
Material: Pr2Mn2Se2S3
Method: DFT, GGA-PBE
State: optimized geometry

a = 4.6868 Å, b = 4.6868 Å, c = 19.0707 Å
α = 90.00°, β = 90.00°, γ = 90.00°
Space group I4/mmm (No. 139)
Asymmetric unit:
Pr: 0.0000 0.0000 0.1706 [4 per cell]
Mn: 0.0000 0.5000 0.0000 [4 per cell]
Se: 0.0000 0.0000 0.4082 [4 per cell]
S: 0.0000 0.0000 0.0000 [2 per cell]
S: 0.0000 0.5000 0.2500 [4 per cell]

For the formation energy (no corrections), the calculation gives -10.12 eV per formula unit.

=====

(7)
Material: K2PrAuO4
Method: DFT, GGA-PBE
State: optimized geometry

a = 6.3654 Å, b = 6.3654 Å, c = 7.0915 Å
α = 90.00°, β = 90.00°, γ = 90.00°
Space group I-4 (No. 82)
Asymmetric unit:
K: 0.0000 0.0000 0.0000 [2 per cell]
K: 0.0000 0.5000 0.2500 [2 per cell]
Pr: 0.0000 0.5000 0.7500 [2 per cell]
Au: 0.0000 0.0000 0.5000 [2 per cell]
O: 0.1645 0.2730 0.5387 [8 per cell]

For the formation energy (no corrections), the calculation gives -12.58 eV per formula unit.

=====

(8)
Material: Li2CaCuAg
Method: DFT, GGA-PBE
State: optimized geometry

a = 4.6582 Å, b = 4.6582 Å, c = 5.0352 Å
α = 90.00°, β = 90.00°, γ = 90.00°
Space group P4/mmm (No. 123)
Asymmetric unit:
Li: 0.0000 0.5000 0.0000 [2 per cell]
Ca: 0.0000 0.0000 0.5000 [1 per cell]
Cu: 0.5000 0.5000 0.0000 [1 per cell]
Ag: 0.5000 0.5000 0.5000 [1 per cell]

As for the formation energy: 2.6 kJ/mol of atoms.

=====

(9)
Material: Pr2Sm4HoMg
Method: DFT, GGA-PBE
State: optimized geometry

a = 5.0496 Å, b = 5.0496 Å, c = 10.2543 Å
α = 90.00°, β = 90.00°, γ = 90.00°
Space group P4/mmm (No. 123)
Asymmetric unit:
Pr: 0.0000 0.0000 0.0000 [1 per cell]
Pr: 0.5000 0.5000 0.5000 [1 per cell]
Sm: 0.0000 0.5000 0.2486 [4 per cell]
Ho: 0.0000 0.0000 0.5000 [1 per cell]
Mg: 0.5000 0.5000 0.0000 [1 per cell]

As for the formation energy: 1.7 kJ/mol of atoms.

=====

(10)
Material: CaSm2CdAu4
Method: DFT, GGA-PBE
State: optimized geometry

a = 5.0775 Å, b = 5.0775 Å, c = 24.9300 Å
α = 90.00°, β = 90.00°, γ = 120.00°
Space group R-3m (No. 166, hexagonal axes)
Asymmetric unit:
Ca: 0.0000 0.0000 0.0000 [3 per cell]
Sm: 0.0000 0.0000 0.2440 [6 per cell]
Cd: 0.0000 0.0000 0.5000 [3 per cell]
Au: 0.0000 0.0000 0.1218 [6 per cell]
Au: 0.0000 0.0000 0.3721 [6 per cell]

As for the formation energy: -71.3 kJ/mol of atoms.

=====

(11)
Material: PbAuCl4
Method: DFT, GGA-PBE
State: optimized geometry

a = 6.9802 Å, b = 6.9802 Å, c = 7.2866 Å
α = 90.00°, β = 90.00°, γ = 90.00°
Space group I-4 (No. 82)
Asymmetric unit:
Pb: 0.0000 0.0000 0.0000 [2 per cell]
Au: 0.0000 0.5000 0.7500 [2 per cell]
Cl: 0.2460 0.2508 0.7498 [8 per cell]

For the formation energy (no corrections), the calculation gives -3.75 eV per formula unit.

=====

(12)
Material: DyEr4Ag2
Method: DFT, GGA-PBE
State: optimized geometry

a = 4.9667 Å, b = 4.9667 Å, c = 29.8351 Å
α = 90.00°, β = 90.00°, γ = 120.00°
Space group R-3m (No. 166, hexagonal axes)
Asymmetric unit:
Dy: 0.0000 0.0000 0.0000 [3 per cell]
Er: 0.0000 0.0000 0.2023 [6 per cell]
Er: 0.0000 0.0000 0.3969 [6 per cell]
Ag: 0.0000 0.0000 0.1012 [6 per cell]

As for the formation energy: 15.9 kJ/mol of atoms.

=====

no.,size of the total moment (μB/f.u.)
1,0.0
2,1.0
3,0.0
4,0.0
5,2.5
6,9.5
7,0.0
8,0.0
9,0.0
10,0.0
11,0.0
12,0.0